Below is a geometry-optimized ZrCu2As structure, with properties calculated at the GGA-PBE level.

Results
For the volume, the calculation gives 138 Å³/cell. For the density of states at the Fermi level, the calculation gives 2.38 states/eV/cell. The calculation puts the formation energy at -0.1728 eV per atom. Its magnetization is 0.000 μB per formula unit. The value obtained for the energy is -0.2029 Ha/atom. As for the symmetry: No. 122.

abc: 3.761 3.761 10.106
angles: 79.28 79.28 90.00
Atoms (fractional coordinates):
As 0.500 0.500 0.000
As 0.250 0.750 0.500
Cu 0.610 0.125 0.250
Cu 0.140 0.625 0.250
Cu 0.375 0.390 0.750
Cu 0.875 0.860 0.750
Zr 0.000 0.000 0.000
Zr 0.750 0.250 0.500